[1]
Material: Pm5Nd12Sc2
Method: DFT, PBE
State: optimized geometry

The structure in CIF format:
```
data_Pm5Nd12Sc2
_chemical_formula_sum 'Pm10 Nd24 Sc4'
_symmetry_space_group_name_H-M 'C 1 2/m 1'
_symmetry_Int_Tables_number 12
_symmetry_space_group_name_Hall '-C 2y'
_cell_length_a 22.6073
_cell_length_b 7.1091
_cell_length_c 8.8105
_cell_angle_alpha 90.00
_cell_angle_beta 111.96
_cell_angle_gamma 90.00
loop_
_atom_site_label
_atom_site_type_symbol
_atom_site_fract_x
_atom_site_fract_y
_atom_site_fract_z
Pm1 Pm 0.0000 0.0000 0.0000
Pm2 Pm 0.1463 0.5000 0.5939
Pm3 Pm 0.2479 0.0000 0.9864
Nd1 Nd 0.0490 0.5000 0.1992
Nd2 Nd 0.1037 0.2550 0.8766
Nd3 Nd 0.1308 0.0000 0.5276
Nd4 Nd 0.2041 0.2521 0.2931
Sc1 Sc 0.0000 0.2668 0.5000
```

Calculated values
ΔE_f ... 0.1447 eV/atom

=====

[2]
Material: RbZrFeS3
Method: DFT, PBE
State: optimized geometry

The structure in CIF format:
```
data_RbZrFeS3
_chemical_formula_sum 'Rb2 Zr2 Fe2 S6'
_symmetry_space_group_name_H-M 'P 1 21/m 1'
_symmetry_Int_Tables_number 11
_symmetry_space_group_name_Hall '-P 2yb'
_cell_length_a 8.9365
_cell_length_b 3.7215
_cell_length_c 9.4394
_cell_angle_alpha 90.00
_cell_angle_beta 113.93
_cell_angle_gamma 90.00
loop_
_atom_site_label
_atom_site_type_symbol
_atom_site_fract_x
_atom_site_fract_y
_atom_site_fract_z
Rb1 Rb 0.2219 0.2500 0.2483
Zr1 Zr 0.3192 0.7500 0.8388
Fe1 Fe 0.0706 0.2500 0.5995
S1 S 0.1265 0.2500 0.8588
S2 S 0.2086 0.7500 0.5422
S3 S 0.4688 0.7500 0.1466
```

Calculated values
ΔE_f (raw) ... -1207 meV per atom

=====

[3]
Material: MnC3
Method: DFT, PBE
State: optimized geometry

The structure in CIF format:
```
data_MnC3
_chemical_formula_sum 'Mn1 C3'
_symmetry_space_group_name_H-M 'P 1 2/m 1'
_symmetry_Int_Tables_number 10
_symmetry_space_group_name_Hall '-P 2y'
_cell_length_a 2.7927
_cell_length_b 2.4056
_cell_length_c 4.3744
_cell_angle_alpha 90.00
_cell_angle_beta 102.30
_cell_angle_gamma 90.00
loop_
_atom_site_label
_atom_site_type_symbol
_atom_site_fract_x
_atom_site_fract_y
_atom_site_fract_z
Mn1 Mn 0.0000 0.0000 0.0000
C1 C 0.4407 0.5000 0.7287
C2 C 0.5000 0.0000 0.5000
```

Calculated values
ΔE_f ... 1.6258 eV/atom

=====

[4]
Material: Pm2YAu6
Method: DFT, PBE
State: optimized geometry

The structure in CIF format:
```
data_Pm2YAu6
_chemical_formula_sum 'Pm4 Y2 Au12'
_symmetry_space_group_name_H-M 'C 1 2/m 1'
_symmetry_Int_Tables_number 12
_symmetry_space_group_name_Hall '-C 2y'
_cell_length_a 5.3378
_cell_length_b 16.5203
_cell_length_c 5.2886
_cell_angle_alpha 90.00
_cell_angle_beta 119.56
_cell_angle_gamma 90.00
loop_
_atom_site_label
_atom_site_type_symbol
_atom_site_fract_x
_atom_site_fract_y
_atom_site_fract_z
Pm1 Pm 0.0000 0.1648 0.0000
Y1 Y 0.0000 0.5000 0.5000
Au1 Au 0.1582 0.0000 0.8260
Au2 Au 0.1622 0.3363 0.3330
```

Calculated values
ΔE_f ... -0.7550 eV/atom

=====

[5]
Material: ZrHgTe2I
Method: DFT, PBE
State: optimized geometry

The structure in CIF format:
```
data_ZrHgTe2I
_chemical_formula_sum 'Zr1 Hg1 Te2 I1'
_symmetry_space_group_name_H-M 'P 4/m m m'
_symmetry_Int_Tables_number 123
_symmetry_space_group_name_Hall '-P 4 2'
_cell_length_a 5.5441
_cell_length_b 5.5441
_cell_length_c 5.7507
_cell_angle_alpha 90.00
_cell_angle_beta 90.00
_cell_angle_gamma 90.00
loop_
_atom_site_label
_atom_site_type_symbol
_atom_site_fract_x
_atom_site_fract_y
_atom_site_fract_z
Zr1 Zr 0.0000 0.0000 0.0000
Hg1 Hg 0.5000 0.5000 0.5000
Te1 Te 0.0000 0.5000 0.5000
I1 I 0.5000 0.5000 0.0000
```

Calculated values
ΔE_f (raw) ... 682 meV per atom

=====

[6]
Material: TmPaGa2
Method: DFT, PBE
State: optimized geometry

The structure in CIF format:
```
data_TmPaGa2
_chemical_formula_sum 'Tm4 Pa4 Ga8'
_symmetry_space_group_name_H-M 'F m -3 m'
_symmetry_Int_Tables_number 225
_symmetry_space_group_name_Hall '-F 4 2 3'
_cell_length_a 7.0930
_cell_length_b 7.0930
_cell_length_c 7.0930
_cell_angle_alpha 90.00
_cell_angle_beta 90.00
_cell_angle_gamma 90.00
loop_
_atom_site_label
_atom_site_type_symbol
_atom_site_fract_x
_atom_site_fract_y
_atom_site_fract_z
Tm1 Tm 0.0000 0.0000 0.0000
Pa1 Pa 0.0000 0.0000 0.5000
Ga1 Ga 0.2500 0.2500 0.2500
```

Calculated values
ΔE_f ... -0.3092 eV/atom

=====

[7]
Material: K3Ga5Sn12
Method: DFT, PBE
State: optimized geometry

The structure in CIF format:
```
data_K3Ga5Sn12
_chemical_formula_sum 'K24 Ga40 Sn96'
_symmetry_space_group_name_H-M 'I a -3 d'
_symmetry_Int_Tables_number 230
_symmetry_space_group_name_Hall '-I 4bd 2c 3'
_cell_length_a 18.0128
_cell_length_b 18.0128
_cell_length_c 18.0128
_cell_angle_alpha 90.00
_cell_angle_beta 90.00
_cell_angle_gamma 90.00
loop_
_atom_site_label
_atom_site_type_symbol
_atom_site_fract_x
_atom_site_fract_y
_atom_site_fract_z
K1 K 0.0000 0.2500 0.1250
Ga1 Ga 0.0000 0.0000 0.0000
Ga2 Ga 0.0000 0.2500 0.3750
Sn1 Sn 0.0623 0.1227 0.9302
```

Calculated values
ΔE_f ... 0.1650 eV/atom

=====

[8]
Material: Ac3PrMg2
Method: DFT, PBE
State: optimized geometry

The structure in CIF format:
```
data_Ac3PrMg2
_chemical_formula_sum 'Ac3 Pr1 Mg2'
_symmetry_space_group_name_H-M 'P 4/m m m'
_symmetry_Int_Tables_number 123
_symmetry_space_group_name_Hall '-P 4 2'
_cell_length_a 4.0413
_cell_length_b 4.0413
_cell_length_c 13.6130
_cell_angle_alpha 90.00
_cell_angle_beta 90.00
_cell_angle_gamma 90.00
loop_
_atom_site_label
_atom_site_type_symbol
_atom_site_fract_x
_atom_site_fract_y
_atom_site_fract_z
Ac1 Ac 0.0000 0.0000 0.0000
Ac2 Ac 0.0000 0.0000 0.3084
Pr1 Pr 0.5000 0.5000 0.5000
Mg1 Mg 0.5000 0.5000 0.1547
```

Calculated values
ΔE_f ... -0.0414 eV/atom